1.
VASP calculation (GGA-PBE) on YNiAu after structural relaxation.

abc: 12.2242 3.9325 4.9408
angles: 90.00 101.25 90.00
Atoms (fractional coordinates):
Y (0.1209, 0.0000, 0.3090)
Y (0.3791, 0.5000, 0.6910)
Y (0.6209, 0.5000, 0.3090)
Y (0.8791, 0.0000, 0.6910)
Ni (0.2312, 0.0000, 0.8619)
Ni (0.2688, 0.5000, 0.1381)
Ni (0.7312, 0.5000, 0.8619)
Ni (0.7688, 0.0000, 0.1381)
Au (0.0797, 0.5000, 0.7716)
Au (0.4203, 0.0000, 0.2284)
Au (0.5797, 0.0000, 0.7716)
Au (0.9203, 0.5000, 0.2284)

Output
- Energy of formation: -585.7 meV per atom
- Density of states at the Fermi level: 6.58 states/eV per cell

***

2.
VASP calculation (GGA-PBE) on CdAuBr2 after structural relaxation.

abc: 4.4533 4.4533 24.9750
angles: 90.00 90.00 120.00
Atoms (fractional coordinates):
Cd (0.0000, 0.0000, 0.0000)
Cd (0.3333, 0.6667, 0.6667)
Cd (0.6667, 0.3333, 0.3333)
Au (0.0000, 0.0000, 0.5000)
Au (0.3333, 0.6667, 0.1667)
Au (0.6667, 0.3333, 0.8333)
Br (0.0000, 0.0000, 0.4020)
Br (0.0000, 0.0000, 0.5980)
Br (0.3333, 0.6667, 0.0686)
Br (0.3333, 0.6667, 0.2647)
Br (0.6667, 0.3333, 0.7353)
Br (0.6667, 0.3333, 0.9314)

Output
- Formation energy without anion corrections: -0.151 eV per atom
- Offset from the most stable computed form: 43.5 kJ/mol of formula units
- Density of states at the Fermi level: 6.67 states/eV per cell

***

3.
VASP calculation (GGA-PBE) on Ca4InFe after structural relaxation.

abc: 6.5184 6.5184 6.5184
angles: 60.00 60.00 60.00
Atoms (fractional coordinates):
Ca (0.1244, 0.1244, 0.1244)
Ca (0.1244, 0.1244, 0.6267)
Ca (0.1244, 0.6267, 0.1244)
Ca (0.6267, 0.1244, 0.1244)
In (0.5000, 0.5000, 0.5000)
Fe (0.7500, 0.7500, 0.7500)

Output
- Energy of formation: 659.0 meV per atom
- Density of states at the Fermi level: 6.48 states/eV per cell

***

4.
VASP calculation (GGA-PBE) on Pm7InSn4 after structural relaxation.

abc: 8.3285 8.3285 9.8225
angles: 121.48 121.48 41.58
Atoms (fractional coordinates):
Pm (0.0000, 0.0000, 0.0000)
Pm (0.1842, 0.1842, 0.5783)
Pm (0.3166, 0.3166, 0.0651)
Pm (0.4496, 0.4496, 0.6387)
Pm (0.5504, 0.5504, 0.3613)
Pm (0.6834, 0.6834, 0.9349)
Pm (0.8158, 0.8158, 0.4217)
In (0.5000, 0.5000, 0.0000)
Sn (0.0699, 0.0699, 0.7581)
Sn (0.2321, 0.2321, 0.2985)
Sn (0.7679, 0.7679, 0.7015)
Sn (0.9301, 0.9301, 0.2419)

Output
- Energy of formation: -422.6 meV per atom
- Density of states at the Fermi level: 8.82 states/eV per cell

***

5.
VASP calculation (GGA-PBE) on ScTlZn2 after structural relaxation.

abc: 3.5831 3.5831 6.4412
angles: 90.00 90.00 90.00
Atoms (fractional coordinates):
Sc (0.0000, 0.0000, 0.0000)
Tl (0.0000, 0.0000, 0.5000)
Zn (0.5000, 0.5000, 0.2194)
Zn (0.5000, 0.5000, 0.7806)

Output
- Offset from the most stable computed form: 35.8 kJ/mol of formula units
- Energy of formation: -76.6 meV per atom
- Density of states at the Fermi level: 2.63 states/eV per cell

***

6.
VASP calculation (GGA-PBE) on Np2Ni5H5 after structural relaxation.

abc: 2.6855 4.7818 9.5586
angles: 90.00 90.00 90.00
Atoms (fractional coordinates):
Np (0.0000, 0.0000, 0.0000)
Np (0.0000, 0.5000, 0.5000)
Ni (0.5000, 0.0000, 0.5000)
Ni (0.5000, 0.2492, 0.2553)
Ni (0.5000, 0.2492, 0.7447)
Ni (0.5000, 0.7508, 0.2553)
Ni (0.5000, 0.7508, 0.7447)
H (0.0000, 0.0000, 0.2515)
H (0.0000, 0.0000, 0.7485)
H (0.0000, 0.5000, 0.2437)
H (0.0000, 0.5000, 0.7563)
H (0.5000, 0.5000, 0.0000)

Output
- Density of states at the Fermi level: 13.82 states/eV per cell
- E_tot: -5.854 eV per atom

***

7.
VASP calculation (GGA-PBE) on HgH2Pb after structural relaxation.

abc: 6.3489 6.3489 6.3489
angles: 90.00 90.00 90.00
Atoms (fractional coordinates):
Hg (0.0000, 0.0000, 0.0000)
Hg (0.0000, 0.5000, 0.5000)
Hg (0.5000, 0.0000, 0.5000)
Hg (0.5000, 0.5000, 0.0000)
H (0.2500, 0.2500, 0.2500)
H (0.2500, 0.2500, 0.7500)
H (0.2500, 0.7500, 0.2500)
H (0.2500, 0.7500, 0.7500)
H (0.7500, 0.2500, 0.2500)
H (0.7500, 0.2500, 0.7500)
H (0.7500, 0.7500, 0.2500)
H (0.7500, 0.7500, 0.7500)
Pb (0.0000, 0.0000, 0.5000)
Pb (0.0000, 0.5000, 0.0000)
Pb (0.5000, 0.0000, 0.0000)
Pb (0.5000, 0.5000, 0.5000)

Output
- Offset from the most stable computed form: 75.0 kJ/mol of formula units
- Density of states at the Fermi level: 3.56 states/eV per cell

***

8.
VASP calculation (GGA-PBE) on Tb3Sm2Tm4 after structural relaxation.

abc: 10.0593 10.0593 5.9942
angles: 95.65 95.65 69.95
Atoms (fractional coordinates):
Tb (0.1500, 0.8500, 0.7500)
Tb (0.1843, 0.4875, 0.9138)
Tb (0.4875, 0.1843, 0.4138)
Tb (0.5125, 0.8157, 0.5862)
Tb (0.8157, 0.5125, 0.0862)
Tb (0.8500, 0.1500, 0.2500)
Sm (0.0086, 0.7797, 0.2215)
Sm (0.2203, 0.9914, 0.2785)
Sm (0.7797, 0.0086, 0.7215)
Sm (0.9914, 0.2203, 0.7785)
Tm (0.1230, 0.3427, 0.3725)
Tm (0.3304, 0.5470, 0.4560)
Tm (0.3427, 0.1230, 0.8725)
Tm (0.4530, 0.6696, 0.0440)
Tm (0.5470, 0.3304, 0.9560)
Tm (0.6573, 0.8770, 0.1275)
Tm (0.6696, 0.4530, 0.5440)
Tm (0.8770, 0.6573, 0.6275)

Output
- Offset from the most stable computed form: 70.3 kJ/mol of formula units
- Energy of formation: 100.5 meV per atom
- Density of states at the Fermi level: 25.90 states/eV per cell